Computed, not measured: Sm2Th4Sb3H2 after structural relaxation at the PBE level of DFT.

Electronic total energy: -129.12 eV for the cell shown
Magnetic moment: 0.000 μB/atom

a b c (Å): 4.6577 4.6577 26.7677
angles (deg): 90.00 90.00 90.00
Last column: nearest neighbours and their distance in Å.
Space group I4/mmm (No. 139)
Unique sites:
Sm 0.0000 0.0000 0.2031  5 Sb 3.19-3.36
Th 0.0000 0.5000 0.0855  2 H 2.38
Sb 0.0000 0.0000 0.3223  5 Sm 3.19-3.36, 4 Th 3.39
Sb 0.0000 0.0000 0.5000  8 Th 3.26
H 0.0000 0.0000 0.0671  4 Th 2.38